AcNdCu4 | PBE | relaxed

Cell lengths 3.932, 4.395, 7.423 Å; angles 90.00, 90.00, 90.00 degrees
Positions (direct):
Ac 0.998 0.997 0.498
Nd 0.998 0.497 0.998
Cu 0.499 0.997 0.162
Cu 0.499 0.997 0.835
Cu 0.499 0.497 0.673
Cu 0.499 0.497 0.324

## Properties
Excess energy over the best structure of this formula in the dataset (eV/atom): 0.000
SG: Pmmm, No. 47

***

Mn3GaRu4 | PBE | relaxed

Cell lengths 3.016, 4.234, 8.472 Å; angles 90.00, 90.00, 90.00 degrees
Each line ends with the local moment (μB).
Positions (direct):
Ru 0.000 0.000 0.500  -0.04
Ru 0.000 0.500 0.743  -0.18
Ru 0.000 0.000 0.000  -0.21
Ru 0.000 0.500 0.257  -0.18
Mn 0.500 0.000 0.249  3.02
Mn 0.500 0.500 0.500  2.84
Mn 0.500 0.000 0.751  3.02
Ga 0.500 0.500 0.000  -0.01

## Properties
Raw total energy (eV/atom): -8.5446
SG: Pmmm, No. 47

***

Ac4AgTe2Se | PBE | relaxed

Cell lengths 4.535, 8.197, 8.107 Å; angles 71.34, 90.00, 90.00 degrees
Positions (direct):
Ac 0.000 0.731 0.758
Ac 0.000 0.269 0.242
Ac 0.500 0.734 0.260
Ac 0.500 0.266 0.740
Ag 0.500 0.500 0.000
Te 0.000 0.000 0.000
Te 0.500 0.000 0.500
Se 0.000 0.500 0.500

## Properties
Formation energy from raw total energies (eV/f.u.): -10.0
SG: P2/m, No. 10

***

AlAs3 | PBE | relaxed

Cell lengths 4.626, 4.626, 3.619 Å; angles 90.00, 90.00, 102.77 degrees
Positions (direct):
As 0.000 0.500 0.500
As 0.500 0.000 0.500
As 0.500 0.500 0.000
Al 0.000 0.000 0.000

## Properties
Excess energy over the best structure of this formula in the dataset (eV/atom): 0.390
SG: Cmmm, No. 65

***

CoPdSeBr2 | PBE | relaxed

Cell lengths 5.035, 5.035, 4.420 Å; angles 90.00, 90.00, 90.00 degrees
Positions (direct):
Co 0.000 0.000 0.000
Se 0.000 0.000 0.500
Br 0.000 0.500 0.000
Br 0.500 0.000 0.000
Pd 0.500 0.500 0.500

## Properties
Formation energy from raw total energies (eV/f.u.): 2.2
Excess energy over the best structure of this formula in the dataset (eV/atom): 0.000
SG: P4/mmm, No. 123

***

HfMg2BeCr | PBE | relaxed

Cell lengths 5.462, 4.483, 5.462 Å; angles 90.00, 90.00, 90.00 degrees
Each line ends with the local moment (μB).
Positions (direct):
Cr 0.000 0.500 0.000  2.02
Mg 0.000 0.000 0.500  -0.02
Mg 0.500 0.000 0.000  -0.04
Hf 0.000 0.000 0.000  -0.37
Be 0.500 0.500 0.500  -0.01

## Properties
Raw total energy (eV/atom): -3.5345
SG: P4/mmm, No. 123

***

Copy entry 2 word for word.
Mn3GaRu4 | PBE | relaxed

Cell lengths 3.016, 4.234, 8.472 Å; angles 90.00, 90.00, 90.00 degrees
Each line ends with the local moment (μB).
Positions (direct):
Ru 0.000 0.000 0.500  -0.04
Ru 0.000 0.500 0.743  -0.18
Ru 0.000 0.000 0.000  -0.21
Ru 0.000 0.500 0.257  -0.18
Mn 0.500 0.000 0.249  3.02
Mn 0.500 0.500 0.500  2.84
Mn 0.500 0.000 0.751  3.02
Ga 0.500 0.500 0.000  -0.01

## Properties
Raw total energy (eV/atom): -8.5446
SG: Pmmm, No. 47